This record from Alexandria via LeMat-Bulk describes Pm2TmVO6 after structural relaxation. The functional is PBE with a Hubbard U.

POSCAR file:
```
Pm2TmVO6
1.0
5.592 0.000 0.000
0.000 5.845 0.000
-5.485 0.000 8.156
Pm Tm V O
4 2 2 12
Direct
0.230 0.060 0.250 Pm
0.230 0.440 0.750 Pm
0.770 0.560 0.250 Pm
0.770 0.940 0.750 Pm
0.500 0.000 0.000 Tm
0.500 0.500 0.500 Tm
0.000 0.000 0.500 V
0.000 0.500 0.000 V
0.120 0.207 0.936 O
0.120 0.293 0.436 O
0.232 0.691 0.938 O
0.232 0.809 0.438 O
0.363 0.049 0.742 O
0.363 0.451 0.242 O
0.637 0.549 0.758 O
0.637 0.951 0.258 O
0.768 0.191 0.562 O
0.768 0.309 0.062 O
0.880 0.707 0.564 O
0.880 0.793 0.064 O
```

- Total magnetization: 0.20 μB/atom
- DFT total energy: -165.1 eV/cell